(1)
## TbAlO3 (PBEsol)

Data for crystalline TbAlO3 at its relaxed geometry.

POSCAR file:
```
TbAlO3
1.0
-0.6062 0.5167 -5.1209
-4.7713 -2.3152 0.3312
-3.1324 6.6037 1.0371
O Tb Al
12 4 4
direct
0.2081 0.7920 0.4558
0.2919 0.2920 0.0442
0.0833 0.5202 0.7500
0.9167 0.4798 0.2500
0.5833 0.9798 0.2500
0.2919 0.2920 0.4558
0.7919 0.2080 0.5442
0.7919 0.2080 0.9558
0.7081 0.7080 0.9558
0.2081 0.7920 0.0442
0.7081 0.7080 0.5442
0.4167 0.0202 0.7500
0.4876 0.5517 0.2500
0.5124 0.4483 0.7500
0.0124 0.0517 0.2500
0.9876 0.9483 0.7500
0.5000 0.0000 0.0000
0.5000 0.0000 0.5000
0.0000 0.5000 0.5000
0.0000 0.5000 0.0000
```

Formation energy from raw total energies: -3410.5 meV per atom

(2)
## LiCo3I (PBEsol)

Data for crystalline LiCo3I at its relaxed geometry.

POSCAR file:
```
LiCo3I
1.0
-3.1193 2.4049 0.9085
-1.4989 -0.5407 -3.7149
-2.0887 -3.2036 1.3090
I Co Li
1 3 1
direct
0.5000 0.5000 0.5000
0.0000 0.0000 0.5000
0.5000 0.0000 0.0000
0.0000 0.5000 0.0000
0.0000 0.0000 0.0000
```

Formation energy from raw total energies: 1171.4 meV per atom

(3)
## Ba3InCo (PBEsol)

Data for crystalline Ba3InCo at its relaxed geometry.

POSCAR file:
```
Ba3InCo
1.0
-4.3612 -4.1891 2.3727
-1.0223 -2.3227 -5.9798
4.7046 -4.3880 0.9001
Co Ba In
1 3 1
direct
0.5000 0.5000 0.5000
0.0000 0.5000 0.0000
0.0000 0.0000 0.5000
0.5000 0.0000 0.0000
0.0000 0.0000 0.0000
```

ΔH_f (0 K): 0.83 eV per atom

(4)
## YZrAu2 (PBEsol)

Data for crystalline YZrAu2 at its relaxed geometry.

POSCAR file:
```
YZrAu2
1.0
-1.6067 -1.5992 2.4937
1.5553 -0.5235 2.9435
-3.1078 7.1132 4.8364
Au Zr Y
2 1 1
direct
0.0017 0.0017 0.9950
0.7456 0.7456 0.7633
0.2589 0.2589 0.2232
0.4938 0.4938 0.5185
```

Polymorph energy (0 for the lowest one): 11.23 kcal/mol of atoms
ΔH_f (0 K): -0.20 eV per atom

(5)
## SbHRh2O (PBEsol)

Data for crystalline SbHRh2O at its relaxed geometry.

POSCAR file:
```
SbHRh2O
1.0
-2.0174 0.1792 3.4273
1.7332 -4.4169 1.2511
3.8589 2.1261 2.1603
Rh H O Sb
2 1 1 1
direct
0.0000 0.5000 0.0000
0.0000 0.0000 0.5000
0.5000 0.5000 0.5000
0.5000 0.0000 0.0000
0.0000 0.0000 0.0000
```

(6)
## ZrFe2Cl (PBEsol)

Data for crystalline ZrFe2Cl at its relaxed geometry.

POSCAR file:
```
ZrFe2Cl
1.0
-0.0010 -2.8746 0.4510
1.2184 -0.6225 -3.9651
3.8386 1.9562 3.0911
Cl Fe Zr
1 2 1
direct
0.0000 0.5000 0.0000
0.2628 0.2628 0.5257
0.7372 0.7372 0.4743
0.5000 0.0000 0.0000
```

Formation energy from raw total energies: 99.2 meV per atom
Polymorph energy (0 for the lowest one): 0.00 kcal/mol of atoms

(7)
## LaInFe2 (PBEsol)

Data for crystalline LaInFe2 at its relaxed geometry.

POSCAR file:
```
LaInFe2
1.0
3.3045 0.0000 0.0000
0.0000 4.6410 0.0000
0.0000 0.0000 4.6410
In Fe La
1 2 1
direct
0.5000 0.5000 0.5000
0.0000 0.5000 0.0000
0.0000 0.0000 0.5000
0.5000 0.0000 0.0000
```

ΔH_f (0 K): 0.33 eV per atom

(8)
## Sc2CoSn (PBEsol)

Data for crystalline Sc2CoSn at its relaxed geometry.

POSCAR file:
```
Sc2CoSn
1.0
3.3801 0.0000 0.0000
1.6901 2.9273 0.0000
1.6901 0.9758 8.9305
Sn Co Sc
1 1 2
direct
0.0000 0.0000 0.0000
0.5000 0.5000 0.5000
0.1113 0.1113 0.6660
0.8887 0.8887 0.3340
```

ΔH_f (0 K): -0.03 eV per atom

(9)
## NaPO2F (PBEsol)

Data for crystalline NaPO2F at its relaxed geometry.

POSCAR file:
```
NaPO2F
1.0
-1.0678 -1.1731 -3.0724
3.8525 -2.2249 -0.4895
-1.8109 -3.5743 1.9941
O P F Na
2 1 1 1
direct
0.0000 0.5000 0.0000
0.0000 0.0000 0.5000
0.5000 0.0000 0.0000
0.0000 0.0000 0.0000
0.5000 0.5000 0.5000
```

Formation energy from raw total energies: 293.3 meV per atom

(10)
## Zr2ZnCd (PBEsol)

Data for crystalline Zr2ZnCd at its relaxed geometry.

POSCAR file:
```
Zr2ZnCd
1.0
4.8412 0.0000 0.0000
2.4206 4.1926 0.0000
2.4206 1.3975 3.9528
Zn Zr Cd
1 2 1
direct
0.2500 0.2500 0.2500
0.7500 0.7500 0.7500
0.0000 0.0000 0.0000
0.5000 0.5000 0.5000
```

Polymorph energy (0 for the lowest one): 10.04 kcal/mol of atoms
ΔH_f (0 K): 0.24 eV per atom

(11)
## Co2BiIrCl (PBEsol)

Data for crystalline Co2BiIrCl at its relaxed geometry.

POSCAR file:
```
Co2BiIrCl
1.0
-3.2414 0.4811 -2.5573
-1.8187 -3.3404 1.6768
-2.0826 2.7154 3.1504
Ir Co Bi Cl
1 2 1 1
direct
0.0000 0.0000 0.5000
0.5000 0.0000 0.0000
0.0000 0.5000 0.0000
0.5000 0.5000 0.5000
0.0000 0.0000 0.0000
```

Formation energy from raw total energies: 900.0 meV per atom

(12)
## BeFeAs2 (PBEsol)

Data for crystalline BeFeAs2 at its relaxed geometry.

POSCAR file:
```
BeFeAs2
1.0
-2.0752 -2.8300 -1.9349
2.9029 2.2086 -2.1938
3.4228 -1.8384 -0.9820
Be As Fe
1 2 1
direct
0.5000 0.0000 0.5000
0.2500 0.5000 0.2500
0.7500 0.5000 0.7500
0.0000 0.0000 0.0000
```

Polymorph energy (0 for the lowest one): 4.53 kcal/mol of atoms
ΔH_f (0 K): 0.28 eV per atom

no.,calculated total energy (eV/cell)
1,-167.6
2,-21.1
3,-13.0
4,-24.6
5,-23.2
6,-28.6
7,-25.0
8,-25.3
9,-18.2
10,-20.0
11,-27.1
12,-22.0